DFT (GGA-PBE) results for a geometry-optimized LiMg3Sn3Pd2 structure.

The structure in POSCAR format:
```
LiMg3Sn3Pd2
1.0
-0.892 -3.085 -0.691
7.446 -1.810 -1.531
-2.808 -0.811 7.247
Sn Pd Li Mg
3 2 1 3
Cartesian
0.875 -2.289 1.282
4.880 -2.837 -1.440
-2.454 -2.122 4.838
0.164 -2.686 3.976
3.582 -3.019 1.050
0.000 0.000 0.000
-1.089 -0.315 2.812
2.838 -1.604 3.498
2.889 -0.702 -0.594
```

The mass density is 6204 kg/m3. The calculation puts the formation energy at -0.43 eV per atom.

DFT (GGA-PBE) results for a geometry-optimized LiMg2SnPd4 structure.

The structure in POSCAR format:
```
LiMg2SnPd4
1.0
-3.894 1.490 -1.710
-3.579 -2.733 -0.169
-4.552 1.870 6.057
Mg Li Pd Sn
2 1 4 1
Cartesian
-3.032 0.185 1.127
-8.993 0.442 3.051
-6.013 0.313 2.089
-8.244 -0.389 0.620
-3.781 1.016 3.558
-6.779 1.163 4.574
-5.246 -0.536 -0.397
0.000 0.000 0.000
```

The mass density is 7699 kg/m3. The calculation puts the formation energy at -0.64 eV per atom.

DFT (GGA-PBE) results for a geometry-optimized Li2Mg3Sn3Pd structure.

The structure in POSCAR format:
```
Li2Mg3Sn3Pd
1.0
-1.046 -2.976 -1.262
6.266 -3.563 3.210
-6.714 0.621 4.098
Li Sn Pd Mg
2 3 1 3
Cartesian
-2.910 -2.262 3.171
1.417 -3.656 2.875
-0.281 -1.843 4.577
2.342 -1.331 1.200
-2.509 0.232 1.531
0.000 0.000 0.000
-0.643 -2.280 1.335
4.057 -4.092 1.715
-5.430 -1.034 2.364
```

The mass density is 4979 kg/m3. The calculation puts the formation energy at -0.34 eV per atom.

DFT (GGA-PBE) results for a geometry-optimized LiMgSnPd2 structure.

The structure in POSCAR format:
```
LiMgSnPd2
1.0
-3.874 -0.080 -2.145
1.759 -2.732 -3.076
-1.255 -3.507 2.397
Sn Li Pd Mg
1 1 2 1
Cartesian
-1.685 -3.159 -1.412
0.000 0.000 0.000
-0.628 -1.753 1.199
-1.937 -0.040 -1.073
0.880 -1.366 -1.538
```

The mass density is 6863 kg/m3. The calculation puts the formation energy at -0.01 eV per atom.

DFT (GGA-PBE) results for a geometry-optimized Sr2LiMgPd structure.

The structure in POSCAR format:
```
Sr2LiMgPd
1.0
5.896 0.000 0.000
0.000 5.896 0.000
0.000 0.000 5.194
Pd Sr Mg Li
1 2 1 1
Cartesian
0.000 0.000 0.000
2.948 0.000 0.000
0.000 2.948 0.000
0.000 0.000 2.597
2.948 2.948 2.597
```

The mass density is 2878 kg/m3. The calculation puts the formation energy at -0.22 eV per atom. For the relative energy among the computed polymorphs, the calculation gives 0 meV per atom.

DFT (GGA-PBE) results for a geometry-optimized Sr2LiMgPd structure.

The structure in POSCAR format:
```
Sr2LiMgPd
1.0
5.932 0.000 0.000
0.000 5.932 0.000
0.000 0.000 4.906
Mg Li Sr Pd
1 1 2 1
Cartesian
2.966 2.966 2.453
0.000 0.000 2.453
2.966 0.000 0.000
0.000 2.966 0.000
0.000 0.000 0.000
```

The mass density is 3010 kg/m3. The calculation puts the formation energy at -0.16 eV per atom. For the relative energy among the computed polymorphs, the calculation gives 63 meV per atom.

DFT (GGA-PBE) results for a geometry-optimized Li2Tb2MgPd5 structure.

The structure in POSCAR format:
```
Li2Tb2MgPd5
1.0
3.653 0.000 0.000
0.000 9.665 0.000
0.000 0.000 9.665
Tb Pd Li Mg
4 10 4 2
Cartesian
0.000 3.114 7.947
0.000 6.550 1.718
0.000 1.718 3.114
0.000 7.947 6.550
1.827 4.183 2.829
1.827 4.832 0.000
1.827 7.662 9.015
1.827 9.015 2.003
1.827 2.829 5.482
1.827 6.835 4.183
1.827 0.649 7.662
1.827 2.003 0.649
1.827 0.000 4.832
1.827 5.482 6.835
0.000 8.497 3.665
0.000 3.665 1.168
0.000 1.168 6.000
0.000 6.000 8.497
0.000 0.000 0.000
0.000 4.832 4.832
```

The mass density is 8643 kg/m3. The calculation puts the formation energy at -0.68 eV per atom.

DFT (GGA-PBE) results for a geometry-optimized Li2TbMgPd4 structure.

The structure in POSCAR format:
```
Li2TbMgPd4
1.0
4.523 0.000 0.000
2.262 3.917 0.000
2.262 1.306 7.503
Pd Tb Mg Li
4 1 1 2
Cartesian
4.523 2.611 1.102
6.785 3.917 2.870
2.262 1.306 4.633
4.523 2.611 6.401
0.000 0.000 0.000
4.523 2.611 3.751
6.785 3.917 5.523
2.262 1.306 1.980
```

The mass density is 7779 kg/m3. The calculation puts the formation energy at -0.63 eV per atom.

DFT (GGA-PBE) results for a geometry-optimized LiTbMg2Pd4 structure.

The structure in POSCAR format:
```
LiTbMg2Pd4
1.0
4.555 0.000 0.000
2.277 3.945 0.000
2.277 1.315 7.690
Li Pd Mg Tb
1 4 2 1
Cartesian
4.555 2.630 3.845
4.555 2.630 6.452
6.832 3.945 2.897
2.278 1.315 4.793
4.555 2.630 1.238
2.278 1.315 2.107
6.832 3.945 5.583
0.000 0.000 0.000
```

The mass density is 7693 kg/m3. The calculation puts the formation energy at -0.69 eV per atom.

DFT (GGA-PBE) results for a geometry-optimized LiTbMgPd structure.

The structure in POSCAR format:
```
LiTbMgPd
1.0
-1.922 -1.970 -3.980
1.527 -4.326 -1.538
-2.896 -3.859 0.367
Mg Tb Pd Li
1 1 1 1
Cartesian
-0.823 -2.538 -1.288
-2.468 -7.615 -3.863
-1.645 -5.077 -2.575
0.000 0.000 0.000
```

The mass density is 6149 kg/m3. The calculation puts the formation energy at -0.43 eV per atom.

DFT (GGA-PBE) results for a geometry-optimized LiThMgPd structure.

The structure in POSCAR format:
```
LiThMgPd
1.0
4.911 0.000 0.000
2.456 4.253 0.000
2.456 1.418 4.010
Pd Li Mg Th
1 1 1 1
Cartesian
4.911 2.836 2.005
0.000 0.000 0.000
2.456 1.418 1.003
7.367 4.253 3.008
```

The mass density is 7329 kg/m3. The calculation puts the formation energy at -0.33 eV per atom.

DFT (GGA-PBE) results for a geometry-optimized Li2Tm2MgPd5 structure.

The structure in POSCAR format:
```
Li2Tm2MgPd5
1.0
3.596 0.000 0.000
0.000 9.622 0.000
0.000 0.000 9.622
Tm Mg Pd Li
4 2 10 4
Cartesian
0.000 1.703 3.108
0.000 6.514 1.703
0.000 7.919 6.514
0.000 3.108 7.919
0.000 4.811 4.811
0.000 0.000 0.000
1.798 1.992 0.657
1.798 6.803 4.154
1.798 4.154 2.819
1.798 8.966 1.992
1.798 0.000 4.811
1.798 2.819 5.468
1.798 5.468 6.803
1.798 7.630 8.966
1.798 4.811 0.000
1.798 0.657 7.630
0.000 5.980 8.453
0.000 3.642 1.169
0.000 8.453 3.642
0.000 1.169 5.980
```

The mass density is 9059 kg/m3. The calculation puts the formation energy at -0.70 eV per atom.

DFT (GGA-PBE) results for a geometry-optimized LiYMg2Pd4 structure.

The structure in POSCAR format:
```
LiYMg2Pd4
1.0
4.557 0.000 0.000
2.278 3.946 0.000
2.278 1.315 7.671
Mg Li Pd Y
2 1 4 1
Cartesian
6.835 3.946 5.584
2.278 1.315 2.087
4.557 2.631 3.835
4.557 2.631 6.439
2.278 1.315 4.771
4.557 2.631 1.232
6.835 3.946 2.900
0.000 0.000 0.000
```

The mass density is 6863 kg/m3. The calculation puts the formation energy at -0.69 eV per atom.

DFT (GGA-PBE) results for a geometry-optimized Li2MgZn2Pd5 structure.

The structure in POSCAR format:
```
Li2MgZn2Pd5
1.0
3.862 0.000 0.000
0.000 9.157 0.000
0.000 0.000 9.157
Li Zn Pd Mg
4 4 10 2
Cartesian
0.000 3.027 7.605
0.000 7.605 6.130
0.000 1.552 3.027
0.000 6.130 1.552
0.000 1.168 5.746
0.000 7.990 3.411
0.000 5.746 7.990
0.000 3.411 1.168
1.931 1.816 0.728
1.931 6.394 3.851
1.931 4.579 0.000
1.931 3.851 2.763
1.931 5.307 6.394
1.931 2.763 5.307
1.931 8.429 1.816
1.931 7.342 8.429
1.931 0.000 4.579
1.931 0.728 7.342
0.000 4.579 4.579
0.000 0.000 0.000
```

The mass density is 7190 kg/m3. The calculation puts the formation energy at -0.44 eV per atom.

DFT (GGA-PBE) results for a geometry-optimized LiMg2Zn2Pd2 structure.

The structure in POSCAR format:
```
LiMg2Zn2Pd2
1.0
4.070 0.000 0.000
-2.035 4.402 0.216
0.000 -1.222 6.095
Li Mg Pd Zn
1 2 2 2
Cartesian
0.000 0.000 0.000
2.035 -0.120 4.552
0.000 3.300 1.758
2.035 1.593 1.114
0.000 1.587 5.197
2.035 2.490 3.666
0.000 0.690 2.645
```

The mass density is 6012 kg/m3. The calculation puts the formation energy at -0.45 eV per atom.

DFT (GGA-PBE) results for a geometry-optimized LiMg2Zn2Pd5 structure.

The structure in POSCAR format:
```
LiMg2Zn2Pd5
1.0
-1.098 2.915 1.837
-7.486 -4.808 3.154
4.985 -2.845 7.495
Zn Pd Li Mg
4 10 2 4
Cartesian
2.166 -2.420 5.134
-4.668 -5.234 5.514
-0.383 -5.505 8.506
-2.119 -2.148 2.142
-1.403 -3.285 7.934
-3.629 -3.084 6.284
1.943 0.035 4.666
-2.197 -1.453 4.552
0.028 -1.654 6.201
2.901 -1.202 7.201
-1.980 -5.049 10.387
-1.621 0.310 2.099
-6.502 -3.537 5.284
-4.292 -0.946 2.496
-1.251 -3.827 5.324
0.000 0.000 0.000
1.666 -3.950 7.264
-2.877 -5.898 7.638
-4.168 -3.703 3.385
0.375 -1.756 3.010
```

The mass density is 7403 kg/m3. The calculation puts the formation energy at -0.47 eV per atom.

DFT (GGA-PBE) results for a geometry-optimized LiPmMg structure.

The structure in POSCAR format:
```
LiPmMg
1.0
-0.461 2.510 2.373
-2.130 -2.091 1.798
6.254 -2.420 1.216
Li Mg Pm
1 1 1
Cartesian
2.616 -1.167 1.742
0.058 -0.394 2.987
3.165 -1.780 5.055
```

The mass density is 3793 kg/m3. The calculation puts the formation energy at 0.04 eV per atom. For the relative energy among the computed polymorphs, the calculation gives 71 meV per atom.

DFT (GGA-PBE) results for a geometry-optimized LiPmMg3 structure.

The structure in POSCAR format:
```
LiPmMg3
1.0
-1.884 -0.331 -4.077
-6.600 0.548 3.005
-1.518 7.716 0.074
Pm Li Mg
2 2 6
Cartesian
-3.595 4.123 -3.057
-4.461 2.053 -0.001
-7.063 5.306 0.937
-7.595 1.418 -0.988
-7.538 6.926 -1.462
-1.297 2.177 -1.473
-6.762 3.991 -1.583
-3.450 0.211 -2.806
-8.630 7.513 1.482
-4.600 5.948 -0.253
```

The mass density is 2997 kg/m3. The calculation puts the formation energy at 0.00 eV per atom. For the relative energy among the computed polymorphs, the calculation gives 10 meV per atom.

DFT (GGA-PBE) results for a geometry-optimized Li2PmMg structure.

The structure in POSCAR format:
```
Li2PmMg
1.0
-2.938 -1.518 -0.656
1.732 -4.402 2.430
-1.951 1.781 4.616
Li Mg Pm
2 1 1
Cartesian
0.866 -2.201 1.215
-0.976 0.890 2.308
-1.469 -0.759 -0.328
-1.579 -2.070 3.195
```

The mass density is 3190 kg/m3. The calculation puts the formation energy at 0.10 eV per atom. For the relative energy among the computed polymorphs, the calculation gives 60 meV per atom.

DFT (GGA-PBE) results for a geometry-optimized LiPm2Mg structure.

The structure in POSCAR format:
```
LiPm2Mg
1.0
-0.757 3.693 0.833
-2.901 -1.112 2.292
4.776 -0.346 5.878
Pm Li Mg
2 1 1
Cartesian
3.580 -0.259 4.406
1.196 -0.087 1.472
-1.829 1.291 1.562
0.559 1.117 4.501
```

The mass density is 4721 kg/m3. The calculation puts the formation energy at 0.00 eV per atom. For the relative energy among the computed polymorphs, the calculation gives 0 meV per atom.

DFT (GGA-PBE) results for a geometry-optimized Li2PmMg9 structure.

The structure in POSCAR format:
```
Li2PmMg9
1.0
6.984 0.000 3.215
3.492 8.514 1.608
-0.068 0.000 9.342
Mg Li Pm
18 4 2
Cartesian
6.725 4.929 4.764
0.000 0.000 0.000
4.432 3.586 9.746
5.860 6.999 6.645
7.174 4.929 11.008
2.333 5.772 9.708
1.583 2.742 9.363
2.483 3.586 2.811
2.449 0.672 7.482
4.582 5.772 2.849
5.332 2.742 3.194
8.040 6.999 9.127
6.950 4.257 7.886
5.298 1.515 7.865
3.199 7.843 7.827
3.716 7.843 4.730
1.618 1.515 4.692
4.466 0.672 5.075
6.967 2.129 5.551
6.933 2.129 10.222
5.187 6.386 9.418
8.713 6.386 6.355
3.458 4.257 6.278
3.492 0.000 1.608
```

The mass density is 2250 kg/m3. The calculation puts the formation energy at -0.04 eV per atom.

DFT (GGA-PBE) results for a geometry-optimized Li3Pm2Mg2 structure.

The structure in POSCAR format:
```
Li3Pm2Mg2
1.0
-0.408 -3.396 -0.526
3.122 -0.122 -1.635
6.641 -1.014 12.761
Mg Pm Li
2 2 3
Cartesian
1.471 -0.620 2.856
4.762 -3.790 9.378
5.481 -1.712 6.793
3.874 -2.819 3.807
7.273 -2.467 10.272
2.082 -2.065 0.328
0.000 0.000 0.000
```

The mass density is 3416 kg/m3. The calculation puts the formation energy at 0.04 eV per atom.

DFT (GGA-PBE) results for a geometry-optimized Li2PmMg structure.

The structure in POSCAR format:
```
Li2PmMg
1.0
-0.909 2.882 -1.903
-3.423 -1.013 0.102
-0.951 3.846 6.279
Mg Li Pm
1 2 1
Cartesian
-2.166 0.934 -0.900
-0.752 3.040 4.963
-0.199 0.806 1.316
-2.642 2.857 2.239
```

The mass density is 3213 kg/m3. The calculation puts the formation energy at 0.05 eV per atom. For the relative energy among the computed polymorphs, the calculation gives 12 meV per atom.

no.,size of the total moment (μB/atom)
1,0.000
2,0.000
3,0.000
4,0.000
5,0.000
6,0.000
7,0.000
8,0.000
9,0.000
10,0.000
11,0.000
12,0.000
13,0.000
14,0.000
15,0.000
16,0.000
17,0.000
18,0.000
19,0.000
20,0.000
21,0.000
22,0.000
23,0.000